(1)
# Fe2CuW

A geometry-optimized Fe2CuW structure (PBE-GGA, the Alexandria database).

Cell lengths 2.5910, 2.5910, 7.5887 Å; angles 90.00, 90.00, 90.00 degrees
Last column: magnetic moment on the atom in μB.
Sites, in units of the cell vectors:
Cu1 0.5000 0.5000 0.7676  0.04
Fe1 0.0000 0.0000 0.0078  2.07
Fe2 0.5000 0.5000 0.2265  -1.74
W1 0.0000 0.0000 0.4981  -0.01

Output
energy relative to the lowest polymorph listed for this composition	92.1	meV per atom
crystal system	tetragonal

***

(2)
# CoNiPbS2

A geometry-optimized CoNiPbS2 structure (PBE-GGA, the Alexandria database).

Cell lengths 5.2599, 4.8653, 5.2599 Å; angles 90.00, 90.00, 90.00 degrees
Last column: magnetic moment on the atom in μB.
Sites, in units of the cell vectors:
Pb1 0.0000 0.0000 0.0000  -0.05
Ni1 0.5000 0.5000 0.5000  0.97
S1 0.0000 0.0000 0.5000  0.09
S2 0.5000 0.0000 0.0000  0.13
Co1 0.0000 0.5000 0.0000  1.74

Output
ΔE_f (raw)	148.4	kJ per mole of atoms
crystal system	tetragonal

***

(3)
# ScTaTcC2

A geometry-optimized ScTaTcC2 structure (PBE-GGA, the Alexandria database).

Cell lengths 4.0154, 5.2298, 4.0154 Å; angles 90.00, 90.00, 90.00 degrees
Sites, in units of the cell vectors:
Sc1 0.0000 0.0000 0.0000
C1 0.0000 0.0000 0.5000
C2 0.5000 0.0000 0.0000
Tc1 0.5000 0.5000 0.5000
Ta1 0.0000 0.5000 0.0000

Output
crystal system	tetragonal

***

| no. | size of the total moment (μB per formula unit) | final energy (eV per atom) |
| --- | --- | --- |
| 1 | 0.327 | -8.233 |
| 2 | 3.015 | -3.432 |
| 3 | 0.004 | -6.841 |